No. 1
Computed, not measured: a geometry-optimized LiSi7Ir3 structure at the PBE level of DFT.

Calculated values
E_tot   -143.7 eV for the cell shown
DOS at the Fermi energy   7.6 states/eV/cell
Raw formation energy   -0.492 eV/atom
SG   R-3c (167)
M_tot   0.0 μB per cell

Unit cell a=7.6129 b=7.6129 c=7.9086 alpha=61.23 beta=61.23 gamma=60.00
Element x y z (fractional)
Si  0.1749  0.3517  0.9070
Si  0.0664  0.8517  0.4070
Si  0.6483  0.4336  0.0930
Ir  0.7500  0.4282  0.7500
Ir  0.2500  0.5718  0.2500
Si  0.7500  0.7500  0.7500
Si  0.8251  0.6483  0.0930
Si  0.1483  0.3251  0.5930
Li  0.5000  0.5000  0.5000
Li  0.0000  0.0000  0.0000
Ir  0.9282  0.2500  0.2500
Si  0.4336  0.8251  0.0930
Ir  0.5718  0.9282  0.2500
Si  0.2500  0.2500  0.2500
Si  0.3517  0.5664  0.9070
Si  0.5664  0.1749  0.9070
Ir  0.0718  0.7500  0.7500
Si  0.9336  0.1483  0.5930
Si  0.6749  0.0664  0.4070
Ir  0.4282  0.0718  0.7500
Si  0.3251  0.9336  0.5930
Si  0.8517  0.6749  0.4070



No. 2
Computed, not measured: a geometry-optimized LiSi2Ir structure at the PBE level of DFT.

Calculated values
E_tot   -22.5 eV for the cell shown
DOS at the Fermi energy   1.7 states/eV/cell
Relative energy among the computed polymorphs   1.02 eV per formula unit
Raw formation energy   -0.231 eV/atom
SG   R-3m (166)
M_tot   0.0 μB per cell

Unit cell a=8.4166 b=8.4166 c=8.4166 alpha=19.41 beta=19.41 gamma=19.41
Element x y z (fractional)
Si  0.9957  0.9957  0.9957
Ir  0.2500  0.2500  0.2500
Li  0.7500  0.7500  0.7500
Si  0.5043  0.5043  0.5043